Record 1
The following is a DFT calculation (PBE-GGA) of a relaxed LiIn2Tc2 crystal.

```
LiIn2Tc2
1.0
8.066 0.000 0.000
0.000 8.066 0.000
0.000 0.000 3.010
Li In Tc
2 4 4
direct
0.000 0.000 0.000 Li
0.500 0.500 0.000 Li
0.190 0.310 0.500 In
0.310 0.810 0.500 In
0.690 0.190 0.500 In
0.810 0.690 0.500 In
0.100 0.600 0.000 Tc
0.400 0.100 0.000 Tc
0.600 0.900 0.000 Tc
0.900 0.400 0.000 Tc
```

Computed properties:
DFT total energy (eV per atom): -5.399
Theoretical density (g/cm³): 7.34
Formation energy from the elements (eV per atom): 0.226
Total moment (μB per cell): 0.00

---

Record 2
The following is a DFT calculation (PBE-GGA) of a relaxed Li2InTc crystal.

```
Li2InTc
1.0
0.000 3.211 3.211
3.211 0.000 3.211
3.211 3.211 0.000
Li In Tc
2 1 1
direct
0.000 0.000 0.000 Li
0.250 0.250 0.250 Li
0.750 0.750 0.750 In
0.500 0.500 0.500 Tc
```

Computed properties:
DFT total energy (eV per atom): -4.011
Theoretical density (g/cm³): 5.69
Formation energy from the elements (eV per atom): 0.222
Total moment (μB per cell): 1.59

---

Record 3
The following is a DFT calculation (PBE-GGA) of a relaxed Li2In2Tc crystal.

```
Li2In2Tc
1.0
7.606 0.000 0.000
0.000 7.606 0.000
0.000 0.000 2.932
Li In Tc
4 4 2
direct
0.152 0.348 0.000 Li
0.348 0.848 0.000 Li
0.652 0.152 0.000 Li
0.848 0.652 0.000 Li
0.150 0.650 0.500 In
0.350 0.150 0.500 In
0.650 0.850 0.500 In
0.850 0.350 0.500 In
0.000 0.000 0.500 Tc
0.500 0.500 0.500 Tc
```

Computed properties:
DFT total energy (eV per atom): -3.752
Theoretical density (g/cm³): 6.69
Formation energy from the elements (eV per atom): 0.183
Total moment (μB per cell): 0.00

---

Record 4
The following is a DFT calculation (PBE-GGA) of a relaxed LiInTc crystal.

```
LiInTc
1.0
4.508 -2.310 0.000
4.508 2.310 0.000
-2.283 0.000 5.016
Li In Tc
2 2 2
direct
0.022 0.022 0.279 Li
0.978 0.978 0.721 Li
0.310 0.310 0.869 In
0.690 0.690 0.131 In
0.363 0.363 0.416 Tc
0.637 0.637 0.584 Tc
```

Computed properties:
DFT total energy (eV per atom): -4.883
Theoretical density (g/cm³): 6.98
Formation energy from the elements (eV per atom): 0.123
Total moment (μB per cell): 0.00
Excess energy over the best structure of this formula in the dataset (meV per atom): 0

---

Record 5
The following is a DFT calculation (PBE-GGA) of a relaxed Li2InTc crystal.

```
Li2InTc
1.0
-1.441 2.378 4.848
1.441 -2.378 4.848
1.441 2.378 -4.848
Li In Tc
2 1 1
direct
0.243 0.243 0.000 Li
0.757 0.757 0.000 Li
0.500 0.000 0.500 In
0.000 0.500 0.500 Tc
```

Computed properties:
DFT total energy (eV per atom): -4.096
Theoretical density (g/cm³): 5.66
Formation energy from the elements (eV per atom): 0.137
Total moment (μB per cell): 0.00

---

Record 6
The following is a DFT calculation (PBE-GGA) of a relaxed LiIn4Tc crystal.

```
LiIn4Tc
1.0
0.000 4.018 4.018
4.018 0.000 4.018
4.018 4.018 0.000
Li In Tc
1 4 1
direct
0.000 0.000 0.000 Li
0.375 0.375 0.375 In
0.375 0.375 0.875 In
0.375 0.875 0.375 In
0.875 0.375 0.375 In
0.750 0.750 0.750 Tc
```

Computed properties:
DFT total energy (eV per atom): -3.398
Theoretical density (g/cm³): 7.22
Formation energy from the elements (eV per atom): 0.475
Total moment (μB per cell): 0.00

---

Record 7
The following is a DFT calculation (PBE-GGA) of a relaxed LiInTc crystal.

```
LiInTc
1.0
-1.364 2.163 4.198
1.364 -2.163 4.198
1.364 2.163 -4.198
Li In Tc
1 1 1
direct
0.000 0.000 0.000 Li
0.668 0.668 0.000 In
0.333 0.333 0.000 Tc
```

Computed properties:
DFT total energy (eV per atom): -4.755
Theoretical density (g/cm³): 7.37
Formation energy from the elements (eV per atom): 0.251
Total moment (μB per cell): 0.00
Excess energy over the best structure of this formula in the dataset (meV per atom): 128

---

Record 8
The following is a DFT calculation (PBE-GGA) of a relaxed Li2InTc crystal.

```
Li2InTc
1.0
1.782 -2.042 0.000
1.782 2.042 0.000
0.000 0.000 9.163
Li In Tc
2 1 1
direct
0.000 0.000 0.232 Li
0.000 0.000 0.768 Li
0.500 0.500 0.500 In
0.500 0.500 0.000 Tc
```

Computed properties:
DFT total energy (eV per atom): -4.045
Theoretical density (g/cm³): 5.65
Formation energy from the elements (eV per atom): 0.188
Total moment (μB per cell): 0.00

---

Record 9
The following is a DFT calculation (PBE-GGA) of a relaxed Li3InTc crystal.

```
Li3InTc
1.0
4.832 0.000 0.000
0.000 4.832 0.000
0.000 0.000 4.832
Li In Tc
3 1 1
direct
0.000 0.000 0.500 Li
0.000 0.500 0.000 Li
0.500 0.000 0.000 Li
0.500 0.500 0.500 In
0.000 0.000 0.000 Tc
```

Computed properties:
DFT total energy (eV per atom): -2.818
Theoretical density (g/cm³): 3.44
Formation energy from the elements (eV per atom): 0.951
Total moment (μB per cell): 1.91
Excess energy over the best structure of this formula in the dataset (meV per atom): 0

---

Record 10
The following is a DFT calculation (PBE-GGA) of a relaxed Li2InTc crystal.

```
Li2InTc
1.0
2.936 0.000 0.000
0.000 4.701 0.000
0.000 0.000 4.785
Li In Tc
2 1 1
direct
0.000 0.000 0.000 Li
0.500 0.500 0.000 Li
0.000 0.500 0.500 In
0.500 0.000 0.500 Tc
```

Computed properties:
DFT total energy (eV per atom): -4.080
Theoretical density (g/cm³): 5.70
Formation energy from the elements (eV per atom): 0.153
Total moment (μB per cell): 0.00

---

Record 11
The following is a DFT calculation (PBE-GGA) of a relaxed Li2InTc crystal.

```
Li2InTc
1.0
3.888 0.000 0.000
0.000 3.888 0.000
0.000 0.000 4.208
Li In Tc
2 1 1
direct
0.000 0.500 0.000 Li
0.500 0.000 0.000 Li
0.000 0.000 0.500 In
0.500 0.500 0.500 Tc
```

Computed properties:
DFT total energy (eV per atom): -4.066
Theoretical density (g/cm³): 5.92
Formation energy from the elements (eV per atom): 0.167
Total moment (μB per cell): 0.00

---

Record 12
The following is a DFT calculation (PBE-GGA) of a relaxed Li4InTc crystal.

```
Li4InTc
1.0
0.000 3.525 3.525
3.525 0.000 3.525
3.525 3.525 0.000
Li In Tc
4 1 1
direct
0.123 0.123 0.123 Li
0.123 0.123 0.630 Li
0.123 0.630 0.123 Li
0.630 0.123 0.123 Li
0.500 0.500 0.500 In
0.750 0.750 0.750 Tc
```

Computed properties:
DFT total energy (eV per atom): -3.222
Theoretical density (g/cm³): 4.56
Formation energy from the elements (eV per atom): 0.238
Total moment (μB per cell): 0.00

---

Record 13
The following is a DFT calculation (PBE-GGA) of a relaxed Li2InTc crystal.

```
Li2InTc
1.0
4.869 -1.366 0.000
4.869 1.366 0.000
-0.995 0.000 4.972
Li In Tc
2 1 1
direct
0.000 0.000 0.000 Li
0.245 0.245 0.794 Li
0.743 0.743 0.309 In
0.495 0.495 0.500 Tc
```

Computed properties:
DFT total energy (eV per atom): -4.035
Theoretical density (g/cm³): 5.69
Formation energy from the elements (eV per atom): 0.198
Total moment (μB per cell): 0.00

---

Record 14
The following is a DFT calculation (PBE-GGA) of a relaxed Li2InTc crystal.

```
Li2InTc
1.0
2.710 0.000 0.000
0.000 2.710 0.000
0.000 0.000 9.054
Li In Tc
2 1 1
direct
0.000 0.000 0.234 Li
0.000 0.000 0.766 Li
0.500 0.500 0.500 In
0.500 0.500 0.000 Tc
```

Computed properties:
DFT total energy (eV per atom): -4.037
Theoretical density (g/cm³): 5.66
Formation energy from the elements (eV per atom): 0.196
Total moment (μB per cell): 0.00

---

Record 15
The following is a DFT calculation (PBE-GGA) of a relaxed LiInTcW2 crystal.

```
LiInTcW2
1.0
4.300 0.000 0.000
0.000 4.300 0.000
0.000 0.000 4.298
Li In Tc W
1 1 1 2
direct
0.000 0.000 0.000 Li
0.000 0.000 0.500 In
0.500 0.500 0.500 Tc
0.000 0.500 0.000 W
0.500 0.000 0.000 W
```

Computed properties:
DFT total energy (eV per atom): -6.750
Theoretical density (g/cm³): 12.28
Formation energy from the elements (eV per atom): 1.435
Total moment (μB per cell): 0.81

---

Record 16
The following is a DFT calculation (PBE-GGA) of a relaxed LiZn2InTc crystal.

```
LiZn2InTc
1.0
4.889 0.000 0.000
0.000 4.889 0.000
0.000 0.000 4.853
Li Zn In Tc
1 2 1 1
direct
0.000 0.000 0.000 Li
0.000 0.500 0.500 Zn
0.500 0.000 0.500 Zn
0.500 0.500 0.000 In
0.000 0.000 0.500 Tc
```

Computed properties:
DFT total energy (eV per atom): -2.763
Theoretical density (g/cm³): 5.02
Formation energy from the elements (eV per atom): 0.750
Total moment (μB per cell): 1.46

---

Record 17
The following is a DFT calculation (PBE-GGA) of a relaxed Li2InTe crystal.

```
Li2InTe
1.0
-2.434 2.434 8.945
2.434 -2.434 8.945
2.434 2.434 -8.945
Li In Te
4 2 2
direct
0.086 0.625 0.961 Li
0.375 0.336 0.461 Li
0.664 0.125 0.039 Li
0.875 0.914 0.539 Li
0.250 0.750 0.500 In
0.500 0.500 0.000 In
0.000 0.000 0.000 Te
0.750 0.250 0.500 Te
```

Computed properties:
Formation energy from raw total energies (meV/atom): -382.1
DFT total energy (eV per atom): -2.809
Theoretical density (g/cm³): 4.02
Total moment (μB per cell): 0.00
Excess energy over the best structure of this formula in the dataset (meV per atom): 146

---

Record 18
The following is a DFT calculation (PBE-GGA) of a relaxed LiIn2Te crystal.

```
LiIn2Te
1.0
-4.316 4.316 3.028
4.316 -4.316 3.028
4.316 4.316 -3.028
Li In Te
2 4 2
direct
0.000 0.000 0.000 Li
0.750 0.250 0.500 Li
0.130 0.625 0.005 In
0.375 0.380 0.505 In
0.620 0.125 0.995 In
0.875 0.870 0.495 In
0.250 0.750 0.500 Te
0.500 0.500 0.000 Te
```

Computed properties:
Formation energy from raw total energies (meV/atom): -266.3
DFT total energy (eV per atom): -2.899
Theoretical density (g/cm³): 5.36
Total moment (μB per cell): 0.00

---

Record 19
The following is a DFT calculation (PBE-GGA) of a relaxed Li2InTe2 crystal.

```
Li2InTe2
1.0
8.804 0.000 0.000
0.000 8.804 0.000
0.000 0.000 3.238
Li In Te
4 2 4
direct
0.132 0.368 0.000 Li
0.368 0.868 0.000 Li
0.632 0.132 0.000 Li
0.868 0.632 0.000 Li
0.000 0.000 0.500 In
0.500 0.500 0.500 In
0.165 0.665 0.500 Te
0.335 0.165 0.500 Te
0.665 0.835 0.500 Te
0.835 0.335 0.500 Te
```

Computed properties:
Formation energy from raw total energies (meV/atom): -566.1
DFT total energy (eV per atom): -3.136
Theoretical density (g/cm³): 5.08
Total moment (μB per cell): 0.00
Excess energy over the best structure of this formula in the dataset (meV per atom): 0

---

Record 20
The following is a DFT calculation (PBE-GGA) of a relaxed LiInTe2 crystal.

```
LiInTe2
1.0
2.114 1.221 7.378
-2.114 1.221 7.378
0.000 -2.441 7.378
Li In Te
1 1 2
direct
0.000 0.000 0.000 Li
0.165 0.165 0.165 In
0.577 0.577 0.577 Te
0.751 0.751 0.751 Te
```

Computed properties:
Formation energy from raw total energies (meV/atom): -475.5
DFT total energy (eV per atom): -3.209
Theoretical density (g/cm³): 5.48
Total moment (μB per cell): 0.00